CsHg6Pt after structural relaxation. Source: Alexandria via LeMat-Bulk, functional GGA-PBE.

abc: 7.3250 7.3250 6.9007
angles: 57.94 57.94 60.00
Element x y z (fractional)
Cs: 0.5000 0.5000 0.5000
Hg: 0.8808 0.8808 0.7764
Hg: 0.4620 0.8808 0.7764
Hg: 0.1192 0.5380 0.2236
Hg: 0.5380 0.1192 0.2236
Hg: 0.1192 0.1192 0.2236
Hg: 0.8808 0.4620 0.7764
Pt: 0.0000 0.0000 0.0000

Output
E_tot, eV per atom: -1.204
SG: R-3m



TiMoAs3 after structural relaxation. Source: Alexandria via LeMat-Bulk, functional GGA-PBE.

abc: 4.8551 4.8551 4.8551
angles: 90.00 90.00 90.00
Each line ends with the local moment (μB).
Element x y z (fractional)
Mo: 0.0000 0.0000 0.0000  0.00
As: 0.0000 0.5000 0.0000  0.01
As: 0.0000 0.0000 0.5000  0.01
As: 0.5000 0.0000 0.0000  0.00
Ti: 0.5000 0.5000 0.5000  0.22

Output
Relative energy among the computed polymorphs, eV/f.u.: 0.00
SG: Pm-3m



Tb3SiRh2 after structural relaxation. Source: Alexandria via LeMat-Bulk, functional GGA-PBE.

abc: 3.8777 12.0453 11.6064
angles: 90.00 90.00 90.00
Element x y z (fractional)
Tb: 0.2500 0.3816 0.0597
Tb: 0.7500 0.6184 0.9403
Tb: 0.7500 0.8816 0.4403
Tb: 0.2500 0.1184 0.5597
Tb: 0.2500 0.6921 0.1997
Tb: 0.7500 0.3079 0.8003
Tb: 0.7500 0.1921 0.3003
Tb: 0.2500 0.8079 0.6997
Tb: 0.2500 0.4452 0.3724
Tb: 0.7500 0.5548 0.6276
Tb: 0.7500 0.9452 0.1276
Tb: 0.2500 0.0548 0.8724
Si: 0.2500 0.1391 0.1204
Si: 0.7500 0.8609 0.8796
Si: 0.7500 0.6391 0.3796
Si: 0.2500 0.3609 0.6204
Rh: 0.2500 0.6911 0.4848
Rh: 0.7500 0.3089 0.5152
Rh: 0.7500 0.1911 0.0152
Rh: 0.2500 0.8089 0.9848
Rh: 0.2500 0.0196 0.3047
Rh: 0.7500 0.9804 0.6953
Rh: 0.7500 0.5196 0.1953
Rh: 0.2500 0.4804 0.8047

Output
Formation energy (no corrections), eV per atom: -0.802
SG: Pnma



CdRuO3 after structural relaxation. Source: Alexandria via LeMat-Bulk, functional GGA-PBE.

abc: 3.9030 3.9030 3.9030
angles: 90.00 90.00 90.00
Each line ends with the local moment (μB).
Element x y z (fractional)
Ru: 0.0000 0.0000 0.0000  1.37
O: 0.0000 0.5000 0.0000  0.11
O: 0.0000 0.0000 0.5000  0.04
O: 0.5000 0.0000 0.0000  0.29
Cd: 0.5000 0.5000 0.5000  0.06

Output
Formation energy (no corrections), eV per atom: -0.659
SG: Pm-3m



LiHg3Pd3 after structural relaxation. Source: Alexandria via LeMat-Bulk, functional GGA-PBE.

abc: 5.5860 5.6565 5.5860
angles: 109.73 109.21 109.73
Element x y z (fractional)
Li: 0.0000 0.5033 0.0000
Hg: 0.5000 0.0036 0.0000
Hg: 0.5000 0.5036 0.5000
Hg: 0.0000 0.0036 0.5000
Pd: 0.5000 0.5036 0.0000
Pd: 0.5000 0.0036 0.5000
Pd: 0.0000 0.5036 0.5000

Output
E_tot, eV per atom: -2.870
SG: R-3m



TaPd2PtRh2 after structural relaxation. Source: Alexandria via LeMat-Bulk, functional GGA-PBE.

abc: 5.4048 5.2273 6.7875
angles: 98.53 90.00 90.00
Element x y z (fractional)
Ta: 0.7500 0.2811 0.8155
Ta: 0.2500 0.7189 0.1845
Pd: 0.5034 0.1821 0.1843
Pd: 0.9966 0.1821 0.1843
Pd: 0.0034 0.8179 0.8157
Pd: 0.4966 0.8179 0.8157
Pt: 0.2500 0.3434 0.8727
Pt: 0.7500 0.6566 0.1273
Rh: 0.2500 0.0112 0.5111
Rh: 0.2500 0.5051 0.4914
Rh: 0.7500 0.9888 0.4889
Rh: 0.7500 0.4949 0.5086

Output
E_tot, eV per atom: -7.366
SG: P2_1/m



TbPr4SmTm2 after structural relaxation. Source: Alexandria via LeMat-Bulk, functional GGA-PBE.

abc: 5.1802 5.1574 11.3363
angles: 62.92 90.00 90.00
Element x y z (fractional)
Tb: 0.0000 0.5000 0.5000
Pr: 0.0000 0.7506 0.7494
Pr: 0.0000 0.2494 0.2506
Pr: 0.5000 0.7481 0.2516
Pr: 0.5000 0.2519 0.7484
Sm: 0.5000 0.5000 0.0000
Tm: 0.0000 0.0000 0.0000
Tm: 0.5000 0.0000 0.5000

Output
E_tot, eV per atom: -4.660
SG: Pmmm



KSb2Br after structural relaxation. Source: Alexandria via LeMat-Bulk, functional GGA-PBE.

abc: 5.2477 5.2477 6.3199
angles: 90.00 90.00 90.00
Element x y z (fractional)
Br: 0.5000 0.5000 0.2500
K: 0.5000 0.5000 0.7500
Sb: 0.0000 0.0000 0.9528
Sb: 0.0000 0.0000 0.5472

Output
Relative energy among the computed polymorphs, eV/f.u.: 1.68
Formation energy (no corrections), eV per atom: -0.248
SG: P4/mmm



SmDyAlPd after structural relaxation. Source: Alexandria via LeMat-Bulk, functional GGA-PBE.

abc: 5.1136 5.1136 5.1136
angles: 60.00 60.00 60.00
Element x y z (fractional)
Al: 0.2500 0.2500 0.2500
Pd: 0.7500 0.7500 0.7500
Sm: 0.5000 0.5000 0.5000
Dy: 0.0000 0.0000 0.0000

Output
Relative energy among the computed polymorphs, eV/f.u.: 0.22
SG: F-43m



PrNd6Dy2Ho after structural relaxation. Source: Alexandria via LeMat-Bulk, functional GGA-PBE.

abc: 9.7220 8.9756 8.9756
angles: 117.39 93.71 93.71
Element x y z (fractional)
Pr: 0.2500 0.9727 0.0273
Pr: 0.7500 0.0273 0.9727
Nd: 0.0549 0.1165 0.7571
Nd: 0.4451 0.2429 0.8835
Nd: 0.9451 0.8835 0.2429
Nd: 0.5549 0.7571 0.1165
Nd: 0.3141 0.9907 0.4374
Nd: 0.1859 0.5626 0.0093
Nd: 0.6859 0.0093 0.5626
Nd: 0.8141 0.4374 0.9907
Nd: 0.1181 0.7061 0.4882
Nd: 0.3819 0.5118 0.2939
Nd: 0.8819 0.2939 0.5118
Nd: 0.6181 0.4882 0.7061
Dy: 0.4527 0.7982 0.6996
Dy: 0.0473 0.3004 0.2018
Dy: 0.5473 0.2018 0.3004
Dy: 0.9527 0.6996 0.7982
Ho: 0.2500 0.4108 0.5892
Ho: 0.7500 0.5892 0.4108

Output
E_tot, eV per atom: -4.603
SG: C2/c